(1)
Compound: MgSc4Hg
Source: Alexandria
Functional: PBE-GGA
Structure: optimized geometry

Properties
The calculation puts the energy at -25.865 eV per cell. The calculation puts the formation energy at 0.23 eV per atom. For the relative energy among the computed polymorphs, the calculation gives 0.028 eV per atom. The space group is C2/m, No. 12. The density of states at the Fermi level comes out at 1.29 states/eV per atom.

The structure in POSCAR format:
```
MgSc4Hg
1.0
4.1444 -2.3886 0.0000
4.1444 2.3886 0.0000
-2.7654 0.0000 8.1455
Mg Sc Hg
1 4 1
direct
0.0000 0.0000 0.0000
0.1268 0.1268 0.3801
0.3802 0.3802 0.1416
0.6198 0.6198 0.8584
0.8732 0.8732 0.6199
0.5000 0.5000 0.5000
```

(2)
Compound: MgScHg3
Source: Alexandria
Functional: PBE-GGA
Structure: optimized geometry

Properties
The calculation puts the energy at -18.564 eV per cell. The calculation puts the formation energy at -0.09 eV per atom. For the relative energy among the computed polymorphs, the calculation gives 0.193 eV per atom. The space group is C2/m, No. 12. The density of states at the Fermi level comes out at 0.65 states/eV per atom.

The structure in POSCAR format:
```
MgScHg3
1.0
8.0260 -2.9815 0.0000
8.0260 2.9815 0.0000
-1.6804 0.0000 4.9303
Mg Sc Hg
2 2 6
direct
0.1460 0.1460 0.3963
0.8540 0.8540 0.6037
0.4378 0.4378 0.1883
0.5622 0.5622 0.8117
0.0475 0.0475 0.7973
0.2440 0.2440 0.9946
0.3543 0.3543 0.6051
0.6457 0.6457 0.3949
0.7560 0.7560 0.0054
0.9525 0.9525 0.2027
```

(3)
Compound: MgSc4Hg
Source: Alexandria
Functional: PBE-GGA
Structure: optimized geometry

Properties
The calculation puts the energy at -26.032 eV per cell. The calculation puts the formation energy at 0.20 eV per atom. For the relative energy among the computed polymorphs, the calculation gives 0.000 eV per atom. The space group is F-43m, No. 216. The density of states at the Fermi level comes out at 1.01 states/eV per atom.

The structure in POSCAR format:
```
MgSc4Hg
1.0
0.0000 4.1611 4.1611
4.1611 0.0000 4.1611
4.1611 4.1611 0.0000
Mg Sc Hg
1 4 1
direct
0.0000 0.0000 0.0000
0.1246 0.6251 0.6251
0.6251 0.1246 0.6251
0.6251 0.6251 0.1246
0.6251 0.6251 0.6251
0.2500 0.2500 0.2500
```

(4)
Compound: Mg2ScHg2
Source: Alexandria
Functional: PBE-GGA
Structure: optimized geometry

Properties
The calculation puts the energy at -21.771 eV per cell. The calculation puts the formation energy at -0.15 eV per atom. For the relative energy among the computed polymorphs, the calculation gives 0.047 eV per atom. The space group is P4/mbm, No. 127. The density of states at the Fermi level comes out at 0.57 states/eV per atom.

The structure in POSCAR format:
```
Mg2ScHg2
1.0
8.2489 0.0000 0.0000
0.0000 8.2489 0.0000
0.0000 0.0000 3.1624
Mg Sc Hg
4 2 4
direct
0.1264 0.3736 0.0000
0.3736 0.8736 0.0000
0.6264 0.1264 0.0000
0.8736 0.6264 0.0000
0.0000 0.0000 0.0000
0.5000 0.5000 0.0000
0.1741 0.6741 0.5000
0.3259 0.1741 0.5000
0.6741 0.8259 0.5000
0.8259 0.3259 0.5000
```

(5)
Compound: MgSc4Hg3
Source: Alexandria
Functional: PBE-GGA
Structure: optimized geometry

Properties
The calculation puts the energy at -30.524 eV per cell. The calculation puts the formation energy at -0.34 eV per atom. The space group is P4/mmm, No. 123. The density of states at the Fermi level comes out at 1.07 states/eV per atom.

The structure in POSCAR format:
```
MgSc4Hg3
1.0
4.9559 0.0000 0.0000
0.0000 4.9559 0.0000
0.0000 0.0000 7.1476
Mg Sc Hg
1 4 3
direct
0.0000 0.0000 0.0000
0.0000 0.5000 0.2546
0.0000 0.5000 0.7454
0.5000 0.0000 0.2546
0.5000 0.0000 0.7454
0.0000 0.0000 0.5000
0.5000 0.5000 0.0000
0.5000 0.5000 0.5000
```

(6)
Compound: MgSc2Hg
Source: Alexandria
Functional: PBE-GGA
Structure: optimized geometry

Properties
The calculation puts the energy at -15.263 eV per cell. The calculation puts the formation energy at -0.18 eV per atom. The space group is Pmm2, No. 25. The density of states at the Fermi level comes out at 0.97 states/eV per atom.

The structure in POSCAR format:
```
MgSc2Hg
1.0
3.6442 0.0000 0.0000
0.0000 3.6561 0.0000
0.0000 0.0000 6.7482
Mg Sc Hg
1 2 1
direct
0.0000 0.0000 0.0000
0.0000 0.0000 0.5197
0.5000 0.5000 0.2555
0.5000 0.5000 0.7607
```

(7)
Compound: Mg14ScHg
Source: Alexandria
Functional: PBE-GGA
Structure: optimized geometry

Properties
The calculation puts the energy at -29.294 eV per cell. The calculation puts the formation energy at -0.02 eV per atom. The space group is P4/mmm, No. 123. The density of states at the Fermi level comes out at 0.67 states/eV per atom.

The structure in POSCAR format:
```
Mg14ScHg
1.0
6.5256 0.0000 0.0000
0.0000 6.5256 0.0000
0.0000 0.0000 8.6134
Mg Sc Hg
14 1 1
direct
0.0000 0.0000 0.0000
0.0000 0.5000 0.0000
0.0000 0.5000 0.5000
0.2503 0.2503 0.2524
0.2503 0.2503 0.7476
0.2503 0.7497 0.2524
0.2503 0.7497 0.7476
0.5000 0.0000 0.0000
0.5000 0.0000 0.5000
0.5000 0.5000 0.0000
0.7497 0.2503 0.2524
0.7497 0.2503 0.7476
0.7497 0.7497 0.2524
0.7497 0.7497 0.7476
0.0000 0.0000 0.5000
0.5000 0.5000 0.5000
```

(8)
Compound: MgSc2Hg
Source: Alexandria
Functional: PBE-GGA
Structure: optimized geometry

Properties
The calculation puts the energy at -14.907 eV per cell. The calculation puts the formation energy at -0.09 eV per atom. The space group is R3m, No. 160. The density of states at the Fermi level comes out at 0.97 states/eV per atom.

The structure in POSCAR format:
```
MgSc2Hg
1.0
1.6704 0.9644 9.8294
-1.6704 0.9644 9.8294
0.0000 -1.9288 9.8294
Mg Sc Hg
1 2 1
direct
0.0000 0.0000 0.0000
0.5091 0.5091 0.5091
0.7549 0.7549 0.7549
0.2553 0.2553 0.2553
```

no.,V (Å³/atom)
1,26.88
2,23.60
3,24.02
4,21.52
5,21.94
6,22.48
7,22.92
8,23.75